# La6TcPt2Br3

La6TcPt2Br3 after structural relaxation (PBE, Alexandria via LeMat-Bulk).

Results
Space group: C2/m (12)
Total DFT energy (no corrections): -5.91 eV/atom
DOS(E_F): 0.372 states/eV/atom
Uncorrected formation energy: -1.16 eV/atom

Cell: 7.337 7.337 8.286 Å, 98.47 98.47 120.03°
Fractional coordinates of all 12 atoms:
La 0.066 0.385 0.199
La 0.253 0.253 0.802
La 0.385 0.066 0.199
La 0.615 0.934 0.801
La 0.747 0.747 0.198
La 0.934 0.615 0.801
Tc 0.000 0.000 0.000
Pt 0.333 0.667 0.000
Pt 0.667 0.333 0.000
Br 0.163 0.837 0.500
Br 0.500 0.500 0.500
Br 0.837 0.163 0.500